[1]
The following is a DFT calculation (PBE) of crystalline CaYZnGe2 at its relaxed geometry.

## Properties
calculated formation energy: 3.59 eV per formula unit
space group: P4/mmm
calculated volume: 36.444 Å³/atom
M_tot: 0.529 μB/cell

Lattice parameters (Å, degrees): 5.385 6.284 5.385 90.00 90.00 90.00
Each line ends with the local moment (μB).
Atoms (fractional coordinates):
Ca (0.000, 0.500, 0.000)  0.08
Zn (0.500, 0.500, 0.500)  0.02
Ge (0.000, 0.000, 0.500)  0.03
Y (0.000, 0.000, 0.000)  0.16
Ge (0.500, 0.000, 0.000)  0.01


[2]
The following is a DFT calculation (PBE) of crystalline CaYZr2Ge at its relaxed geometry.

## Properties
calculated formation energy: 4.17 eV per formula unit
space group: P4/mmm
calculated volume: 30.047 Å³/atom
M_tot: 0.000 μB/cell

Lattice parameters (Å, degrees): 5.225 5.225 5.504 90.00 90.00 90.00
Atoms (fractional coordinates):
Ca (0.500, 0.500, 0.500)
Zr (0.500, 0.000, 0.000)
Zr (0.000, 0.500, 0.000)
Ge (0.000, 0.000, 0.500)
Y (0.000, 0.000, 0.000)


[3]
The following is a DFT calculation (PBE) of crystalline Ca2ZnGe at its relaxed geometry.

## Properties
calculated formation energy: 0.51 eV per formula unit
space group: I-42d
offset from the most stable computed form: 626 meV/atom
calculated volume: 30.493 Å³/atom
M_tot: 0.000 μB/cell

Lattice parameters (Å, degrees): 5.046 5.046 10.223 75.71 75.71 90.00
Atoms (fractional coordinates):
Ge (0.000, 0.000, 0.000)
Ge (0.750, 0.250, 0.500)
Ca (0.375, 0.366, 0.750)
Zn (0.500, 0.500, 0.000)
Ca (0.116, 0.625, 0.250)
Zn (0.250, 0.750, 0.500)
Ca (0.875, 0.884, 0.750)
Ca (0.634, 0.125, 0.250)


[4]
The following is a DFT calculation (PBE) of crystalline CaZn2Ge2 at its relaxed geometry.

## Properties
calculated formation energy: -0.28 eV per formula unit
space group: P4/mbm
calculated volume: 19.828 Å³/atom
M_tot: 0.000 μB/cell

Lattice parameters (Å, degrees): 7.750 7.750 3.301 90.00 90.00 90.00
Atoms (fractional coordinates):
Ca (0.500, 0.500, 0.000)
Ge (0.637, 0.137, 0.000)
Zn (0.348, 0.152, 0.500)
Zn (0.152, 0.652, 0.500)
Zn (0.652, 0.848, 0.500)
Ca (0.000, 0.000, 0.000)
Ge (0.863, 0.637, 0.000)
Ge (0.137, 0.363, 0.000)
Zn (0.848, 0.348, 0.500)
Ge (0.363, 0.863, 0.000)